Entry 1:
{
  "formula": "Cs2CaMgBr6",
  "functional": "PBE",
  "state": "relaxed",
  "sg": "No. 225",
  "e_form_raw_ev_per_atom": -1.7903,
  "lattice_angstrom": [[0.000, 5.600, 5.600], [5.600, 0.000, 5.600], [5.600, 5.600, 0.000]],
  "species": ["Cs", "Cs", "Ca", "Mg", "Br", "Br", "Br", "Br", "Br", "Br"],
  "frac_coords": [[0.250, 0.250, 0.250], [0.750, 0.750, 0.750], [0.000, 0.000, 0.000], [0.500, 0.500, 0.500], [0.258, 0.258, 0.742], [0.258, 0.742, 0.258], [0.258, 0.742, 0.742], [0.742, 0.258, 0.258], [0.742, 0.258, 0.742], [0.742, 0.742, 0.258]]
}

Entry 2:
{
  "formula": "La3PtPbBr",
  "functional": "PBE",
  "state": "relaxed",
  "sg": "No. 11",
  "e_form_raw_ev_per_atom": -0.9673,
  "lattice_angstrom": [[8.135, 0.000, 0.000], [0.000, 4.595, 0.000], [-3.828, 0.000, 10.005]],
  "species": ["La", "La", "La", "La", "La", "La", "Pt", "Pt", "Pb", "Pb", "Br", "Br"],
  "frac_coords": [[0.026, 0.250, 0.348], [0.202, 0.250, 0.993], [0.428, 0.750, 0.611], [0.572, 0.250, 0.389], [0.798, 0.750, 0.007], [0.974, 0.750, 0.652], [0.211, 0.250, 0.628], [0.789, 0.750, 0.372], [0.239, 0.750, 0.232], [0.761, 0.250, 0.768], [0.366, 0.750, 0.886], [0.634, 0.250, 0.114]]
}

Entry 3:
{
  "formula": "Ac2PmBi",
  "functional": "PBE",
  "state": "relaxed",
  "sg": "No. 166",
  "formation_energy_ev_per_atom": 0.074,
  "polymorph_energy_ev_per_fu": 1.79,
  "lattice_angstrom": [[4.245, 0.000, 0.000], [-2.122, 3.676, 0.000], [0.000, 0.000, 35.135]],
  "species": ["Ac", "Ac", "Ac", "Ac", "Ac", "Ac", "Pm", "Pm", "Pm", "Bi", "Bi", "Bi"],
  "frac_coords": [[0.000, 0.000, 0.103], [0.000, 0.000, 0.897], [0.333, 0.667, 0.563], [0.333, 0.667, 0.770], [0.667, 0.333, 0.230], [0.667, 0.333, 0.437], [0.000, 0.000, 0.000], [0.333, 0.667, 0.667], [0.667, 0.333, 0.333], [0.000, 0.000, 0.500], [0.333, 0.667, 0.167], [0.667, 0.333, 0.833]]
}